No. 1
# ThAsRu

A relaxed ThAsRu crystal (PBE-GGA, Alexandria via LeMat-Bulk).

The calculation puts the formation energy from the elements at -0.539 eV per atom. The value obtained for the density of states at the Fermi level is 0.925 states/eV per atom. The crystal system is tetragonal. As for the total energy: -91.85 eV per cell.

The space group is P4_2/m (No. 84) and the conventional cell measures 8.119, 8.119 and 4.227 Å, with angles of 90.00, 90.00 and 90.00 degrees. Symmetry generates all atoms from Th at (0.095, 0.723, 0.000), As at (0.273, 0.360, 0.000) and Ru at (0.156, 0.478, 0.500).

***

No. 2
# ThAs2Ru2

A relaxed ThAs2Ru2 crystal (PBE-GGA, Alexandria via LeMat-Bulk).

The calculation puts the formation energy from the elements at -0.573 eV per atom. The value obtained for the density of states at the Fermi level is 0.567 states/eV per atom. The crystal system is tetragonal. As for the total energy: -38.14 eV per cell.

The space group is P4/mmm (No. 123) and the conventional cell measures 4.199, 4.199 and 5.216 Å, with angles of 90.00, 90.00 and 90.00 degrees. Symmetry generates all atoms from Th at (0.000, 0.000, 0.000), As at (0.500, 0.500, 0.240) and Ru at (0.000, 0.500, 0.500).

***

No. 3
# ThAs3Ru3

A relaxed ThAs3Ru3 crystal (PBE-GGA, Alexandria via LeMat-Bulk).

The calculation puts the formation energy from the elements at -0.010 eV per atom. The value obtained for the density of states at the Fermi level is 1.461 states/eV per atom. The crystal system is cubic. As for the total energy: -98.53 eV per cell.

The space group is Pm-3n (No. 223) and the conventional cell measures 6.665, 6.665 and 6.665 Å, with angles of 90.00, 90.00 and 90.00 degrees. Symmetry generates all atoms from Th at (0.000, 0.000, 0.000), As at (0.000, 0.250, 0.500) and Ru at (0.000, 0.500, 0.250).

***

No. 4
# Th4AsRu2

A relaxed Th4AsRu2 crystal (PBE-GGA, Alexandria via LeMat-Bulk).

The calculation puts the formation energy from the elements at -0.474 eV per atom. The value obtained for the density of states at the Fermi level is 0.714 states/eV per atom. The crystal system is orthorhombic. As for the total energy: -449.58 eV per cell.

The space group is Fddd (No. 70, origin choice 2) and the conventional cell measures 12.037, 12.088 and 12.104 Å, with angles of 90.00, 90.00 and 90.00 degrees. Symmetry generates all atoms from Th at (0.014, 0.014, 0.235), As at (0.125, 0.125, 0.625) and Ru at (0.000, 0.000, 0.000).

***

No. 5
# ThUAs2Ru2

A relaxed ThUAs2Ru2 crystal (PBE-GGA, Alexandria via LeMat-Bulk).

The calculation puts the formation energy from the elements at -0.728 eV per atom. The value obtained for the density of states at the Fermi level is 0.561 states/eV per atom. The crystal system is trigonal. As for the total energy: -50.92 eV per cell.

The space group is P-3m1 (No. 164) and the conventional cell measures 4.2510, 4.2510 and 7.5616 Å, with angles of 90.00, 90.00 and 120.00 degrees. Symmetry generates all atoms from Th at (0.0000, 0.0000, 0.0000), U at (0.0000, 0.0000, 0.5000), As at (0.3333, 0.6667, 0.2400) and Ru at (0.3333, 0.6667, 0.7004).

***

No. 6
# TiAs2Ru

A relaxed TiAs2Ru crystal (PBE-GGA, Alexandria via LeMat-Bulk).

The calculation puts the formation energy from the elements at -0.307 eV per atom. The value obtained for the excess energy over the best structure of this formula in the dataset is 3.23 kJ per mole of atoms. The value obtained for the density of states at the Fermi level is 1.257 states/eV per atom. The crystal system is cubic. As for the total energy: -110.79 eV per cell.

The space group is Fm-3m (No. 225) and the conventional cell measures 6.264, 6.264 and 6.264 Å, with angles of 90.00, 90.00 and 90.00 degrees. Symmetry generates all atoms from Ti at (0.000, 0.000, 0.000), As at (0.250, 0.250, 0.250) and Ru at (0.000, 0.000, 0.500).